1.
## CrRu2Rh (GGA-PBE)

Data for crystalline CrRu2Rh at its relaxed geometry.

Cell lengths 2.667, 9.761, 8.388 Å; angles 90.00, 90.00, 90.00 degrees
Space group Cmcm (No. 63)
Inequivalent atoms, fractional coordinates:
Cr 0.000 0.011 0.250
Ru 0.000 0.373 0.027
Rh 0.000 0.257 0.750

2.
## CrRu2Rh (GGA-PBE)

Data for crystalline CrRu2Rh at its relaxed geometry.

Cell lengths 3.104, 3.104, 5.776 Å; angles 90.00, 90.00, 90.00 degrees
Space group P4mm (No. 99)
Inequivalent atoms, fractional coordinates:
Cr 0.000 0.000 0.000
Ru 0.000 0.000 0.551
Ru 0.500 0.500 0.818
Rh 0.500 0.500 0.267

3.
## Cr3Ru2Rh3 (GGA-PBE)

Data for crystalline Cr3Ru2Rh3 at its relaxed geometry.

Cell lengths 2.829, 4.354, 17.967 Å; angles 90.00, 90.00, 90.00 degrees
Space group Immm (No. 71)
Inequivalent atoms, fractional coordinates:
Cr 0.000 0.000 0.000
Cr 0.000 0.500 0.119
Ru 0.000 0.000 0.270
Rh 0.000 0.000 0.500
Rh 0.000 0.500 0.372

| no. | theoretical density (g cm⁻³) | formation enthalpy at 0 K (eV per atom) |
| --- | --- | --- |
| 1 | 10.86 | 0.109 |
| 2 | 10.65 | 0.310 |
| 3 | 10.01 | 0.101 |